# Tb7SeBr12

An optimized crystal structure of Tb7SeBr12 (PBE, the Alexandria database).

a b c (Å): 14.7836 14.7836 9.7911
angles (deg): 90.00 90.00 120.00
Closest atoms and distances in Å follow each position.
Space group R-3 (No. 148, hexagonal axes)
One atom of each set of equivalent atoms:
Tb: 0.0000 0.0000 0.0000 [3 per cell]  6 Br 2.89
Tb: 0.0456 0.1649 0.3404 [18 per cell]  1 Se 2.68, 4 Br 2.90-2.94
Se: 0.0000 0.0000 0.5000 [3 per cell]  6 Tb 2.68
Br: 0.0250 0.5867 0.1623 [18 per cell]  3 Tb 2.90-3.03
Br: 0.0510 0.1842 0.8417 [18 per cell]  3 Tb 2.89-2.93

Values from the calculation:
E_form (uncorrected) = -1.663 eV/atom
mass density = 5.780 g/cm³